<P>
DFT (PBE-GGA) results for an optimized crystal structure of Cd2Ga2Cu.

volume	20.8	A^3/atom

Cell and atoms, written as CIF:
```
data_Cd2Ga2Cu
_symmetry_space_group_name_H-M 'P 4/m b m'
_symmetry_Int_Tables_number 127
_symmetry_space_group_name_Hall '-P 4 2ab'
_cell_length_a 7.091
_cell_length_b 7.091
_cell_length_c 4.130
_cell_angle_alpha 90.00
_cell_angle_beta 90.00
_cell_angle_gamma 90.00
loop_
_atom_site_label
_atom_site_fract_x
_atom_site_fract_y
_atom_site_fract_z
_atom_site_occupancy
Cd1 0.156 0.344 0.000 1
Ga1 0.151 0.651 0.500 1
Cu1 0.000 0.000 0.000 1
```

<Q>
DFT (PBE-GGA) results for an optimized crystal structure of Cd2Ga2Cu.

volume	19.4	A^3/atom

Cell and atoms, written as CIF:
```
data_Cd2Ga2Cu
_symmetry_space_group_name_H-M 'P 4/m b m'
_symmetry_Int_Tables_number 127
_symmetry_space_group_name_Hall '-P 4 2ab'
_cell_length_a 6.606
_cell_length_b 6.606
_cell_length_c 4.437
_cell_angle_alpha 90.00
_cell_angle_beta 90.00
_cell_angle_gamma 90.00
loop_
_atom_site_label
_atom_site_fract_x
_atom_site_fract_y
_atom_site_fract_z
_atom_site_occupancy
Cd1 0.173 0.327 0.000 1
Ga1 0.143 0.643 0.500 1
Cu1 0.000 0.000 0.500 1
```

<Q> is the most stable structure; the next one sits 131 meV/atom above it.

<P>
DFT (PBE-GGA) results for an optimized crystal structure of CdCuGe.

volume	17.7	A^3/atom

Cell and atoms, written as CIF:
```
data_CdCuGe
_symmetry_space_group_name_H-M 'P 3 m 1'
_symmetry_Int_Tables_number 156
_cell_length_a 3.0821
_cell_length_b 3.0821
_cell_length_c 6.4416
_cell_angle_alpha 90.00
_cell_angle_beta 90.00
_cell_angle_gamma 120.00
loop_
_symmetry_equiv_pos_as_xyz
'x,y,z'
'-y,x-y,z'
'-x+y,-x,z'
'-y,-x,z'
'-x+y,y,z'
'x,x-y,z'
loop_
_atom_site_label
_atom_site_fract_x
_atom_site_fract_y
_atom_site_fract_z
_atom_site_occupancy
Cd1 0.0000 0.0000 0.0000 1
Cu1 0.6667 0.3333 0.3316 1
Ge1 0.3333 0.6667 0.6142 1
```

<Q>
DFT (PBE-GGA) results for an optimized crystal structure of CdCuGe.

volume	17.7	A^3/atom

Cell and atoms, written as CIF:
```
data_CdCuGe
_symmetry_space_group_name_H-M 'I m a 2'
_symmetry_Int_Tables_number 46
_cell_length_a 7.508
_cell_length_b 12.165
_cell_length_c 6.964
_cell_angle_alpha 90.00
_cell_angle_beta 90.00
_cell_angle_gamma 90.00
loop_
_symmetry_equiv_pos_as_xyz
'x,y,z'
'-x,-y,z'
'-x+1/2,y,z'
'x+1/2,-y,z'
'x+1/2,y+1/2,z+1/2'
'-x+1/2,-y+1/2,z+1/2'
'-x,y+1/2,z+1/2'
'x,-y+1/2,z+1/2'
loop_
_atom_site_label
_atom_site_fract_x
_atom_site_fract_y
_atom_site_fract_z
_atom_site_occupancy
Cd1 0.250 0.000 0.000 1
Cd2 0.250 0.197 0.408 1
Cd3 0.250 0.697 0.908 1
Cu1 0.000 0.167 0.106 1
Cu2 0.250 0.000 0.605 1
Ge1 0.000 0.000 0.338 1
Ge2 0.000 0.133 0.739 1
```

<R>
DFT (PBE-GGA) results for an optimized crystal structure of CdCuGe.

volume	18.9	A^3/atom

Cell and atoms, written as CIF:
```
data_CdCuGe
_symmetry_space_group_name_H-M 'F -4 3 m'
_symmetry_Int_Tables_number 216
_symmetry_space_group_name_Hall 'F -4 2 3'
_cell_length_a 6.103
_cell_length_b 6.103
_cell_length_c 6.103
_cell_angle_alpha 90.00
_cell_angle_beta 90.00
_cell_angle_gamma 90.00
loop_
_atom_site_label
_atom_site_fract_x
_atom_site_fract_y
_atom_site_fract_z
_atom_site_occupancy
Cd1 0.000 0.000 0.000 1
Cu1 0.250 0.250 0.750 1
Ge1 0.000 0.000 0.500 1
```

<R> is the most stable structure; the next one sits 23 meV/atom above it.